# K2CrF8

Crystalline K2CrF8 at its relaxed geometry (PBE with a Hubbard U, the Alexandria database).

Output
Final energy: -97.4 eV/cell

Cell: 10.982 7.981 4.999 Å, 90.00 114.40 90.00°
Space group C2/m (No. 12)
Asymmetric unit:
K 0.170 0.000 0.307 x4
Cr 0.000 0.500 0.000 x2
F 0.073 0.000 0.707 x4
F 0.100 0.500 0.798 x4
F 0.108 0.340 0.240 x8